No. 1
PBE ScCrOs, optimized geometry; calculated volume = 94 Å³ per cell; magnetic moment = 0.0 μB/cell; calculated formation energy = -0.280 eV per atom; DFT total energy = -56.0 eV for the cell shown; relative energy among the computed polymorphs = 0 meV/atom
1.0
-4.0703 -2.8847 -0.9741
-0.3520 -2.2657 -4.4000
1.1586 -2.7556 4.1110
Sc Os Cr
2 2 2
Direct
0.3957 0.2418 0.0026
0.6438 0.7418 0.2507
0.5197 0.4918 0.6267
0.0197 0.9918 0.1267
0.0197 0.9918 0.6267
0.0197 0.4918 0.6267



No. 2
PBE ErThCd, optimized geometry; calculated volume = 87 Å³ per cell; magnetic moment = 0.0 μB/cell; calculated formation energy = 0.037 eV per atom; DFT total energy = -12.8 eV for the cell shown; relative energy among the computed polymorphs = 163 meV/atom
1.0
3.5959 0.0000 0.0000
0.0000 5.2995 0.0000
0.0000 -2.6497 4.5895
Th Er Cd
1 1 1
Direct
0.9910 0.0000 0.0000
0.4719 0.3333 0.6667
0.5371 0.6667 0.3333



No. 3
PBE Zn3Au, optimized geometry; calculated volume = 63 Å³ per cell; magnetic moment = 0.0 μB/cell; calculated formation energy = -0.095 eV per atom; DFT total energy = -7.5 eV for the cell shown
1.0
-0.6316 -1.1779 -4.4724
4.3979 -1.0579 1.1525
-0.8941 -2.7813 0.8588
Zn Au
3 1
Direct
0.5000 0.0000 0.5000
0.0000 0.5000 0.5000
0.5000 0.5000 0.0000
0.0000 0.0000 0.0000



No. 4
PBE Ac3ScPd12, optimized geometry; calculated volume = 305 Å³ per cell; magnetic moment = 0.0 μB/cell; calculated formation energy = -0.744 eV per atom; DFT total energy = -92.9 eV for the cell shown
1.0
-0.4483 3.7952 -1.8786
-3.2800 -1.5061 -2.2599
-10.5940 4.7820 12.1888
Pd Ac Sc
12 3 1
Direct
0.0000 0.5000 0.8908
0.5000 0.0000 0.8908
0.5000 0.5000 0.2406
0.0000 0.5000 0.6297
0.5000 0.0000 0.1092
0.5000 0.0000 0.3703
0.0000 0.5000 0.1092
0.5000 0.0000 0.6297
0.5000 0.5000 0.5000
0.5000 0.5000 0.0000
0.0000 0.5000 0.3703
0.5000 0.5000 0.7594
0.0000 0.0000 0.7604
0.0000 0.0000 0.2396
0.0000 0.0000 0.5000
0.0000 0.0000 0.0000



No. 5
PBE KNaSnSe2, optimized geometry; calculated volume = 356 Å³ per cell; magnetic moment = 0.0 μB/cell; ΔE_f (raw) = -0.7823 eV/atom; DFT total energy = -34.6 eV for the cell shown
1.0
4.6446 0.0000 0.0000
-2.3223 8.0874 0.6453
0.0000 -1.0862 9.3993
K Se Na Sn
2 4 2 2
Direct
0.6773 0.3546 0.6785
0.3227 0.6454 0.3215
0.6499 0.2998 0.3386
0.8757 0.7513 0.0486
0.1243 0.2487 0.9514
0.3501 0.7002 0.6614
0.3043 0.6086 0.9377
0.6957 0.3914 0.0623
0.9378 0.8756 0.7809
0.0622 0.1244 0.2191



No. 6
PBE LiEuTl4, optimized geometry; calculated volume = 183 Å³ per cell; magnetic moment = 7.1 μB/cell; calculated formation energy = -0.110 eV per atom; DFT total energy = -22.3 eV for the cell shown
1.0
-4.0867 -3.1133 3.7780
2.1044 -2.8760 5.2884
-1.4886 2.3742 5.7284
Tl Li Eu
4 1 1
Direct
0.1261 0.6246 0.6246
0.6246 0.1261 0.6246
0.6246 0.6246 0.6246
0.6246 0.6246 0.1261
0.2500 0.2500 0.2500
0.0000 0.0000 0.0000



- What is the magnetic moment in the sixth record?
  7.1 μB/cell